1.
## Mg3BeGe (PBE-GGA)

Data for crystalline Mg3BeGe at its relaxed geometry.

Cell: 5.0096 5.0096 5.0096 Å, 90.00 90.00 90.00°
Closest atoms and distances in Å follow each position.
Element x y z (fractional)
Mg: 0.5000 0.0000 0.0000  2 Ge 2.50
Mg: 0.0000 0.5000 0.0000  2 Ge 2.50
Mg: 0.0000 0.0000 0.5000  2 Ge 2.50
Be: 0.5000 0.5000 0.5000  12 Mg 3.54
Ge: 0.0000 0.0000 0.0000  6 Mg 2.50

Results
Energy above the most stable polymorph in this dataset (meV per atom): 223

***

2.
## ZrTe2WN (PBE-GGA)

Data for crystalline ZrTe2WN at its relaxed geometry.

Cell: 5.6884 5.6884 3.9489 Å, 90.00 90.00 90.00°
Closest atoms and distances in Å follow each position.
Element x y z (fractional)
N: 0.0000 0.0000 0.5000  2 Zr 1.97
Te: 0.0000 0.5000 0.0000  2 Zr 2.84
Te: 0.5000 0.0000 0.0000  2 Zr 2.84
W: 0.5000 0.5000 0.5000  8 Te 3.46
Zr: 0.0000 0.0000 0.0000  2 N 1.97

Results
Energy above the most stable polymorph in this dataset (meV per atom): 667
Formation energy from raw total energies (eV/atom): 0.906

***

3.
## Sn2PdRu (PBE-GGA)

Data for crystalline Sn2PdRu at its relaxed geometry.

Cell: 6.0116 6.0116 7.3175 Å, 65.75 65.75 90.00°
Closest atoms and distances in Å follow each position.
Element x y z (fractional)
Sn: 0.1361 0.6250 0.2500  2 Ru 2.56, 2 Pd 2.63
Sn: 0.8750 0.8639 0.7500  2 Ru 2.56, 2 Pd 2.63
Sn: 0.3750 0.3861 0.7500  2 Ru 2.56, 2 Pd 2.63
Sn: 0.6139 0.1250 0.2500  2 Ru 2.56, 2 Pd 2.63
Ru: 0.2500 0.7500 0.5000  4 Sn 2.56
Ru: 0.5000 0.5000 0.0000  4 Sn 2.56
Pd: 0.0000 0.0000 0.0000  4 Sn 2.63
Pd: 0.7500 0.2500 0.5000  4 Sn 2.63

Results
Energy above the most stable polymorph in this dataset (meV per atom): 545

***

no.,magnetization (μB per cell),DOS at the Fermi energy (states/eV per cell)
1,0.000,2.411
2,3.430,3.652
3,0.000,5.152